Entry from Alexandria via LeMat-Bulk: a relaxed structure of HoMgNi2O6 (GGA+U).

Summary:
E: -5.821 eV/atom
M_tot: 0.100 μB per atom
Fermi-level density of states: 2.6 states/eV/f.u.
Calculated density: 6.594 g/cm³

Cell: 7.335 5.411 5.109 Å, 90.00 90.00 90.00°
Space group Pmn2_1 (No. 31)
Inequivalent atoms, fractional coordinates:
Ho 0.000 0.175 0.000 x2
Mg 0.000 0.679 0.454 x2
Ni 0.250 0.255 0.480 x4
O 0.000 0.308 0.589 x2
O 0.000 0.783 0.847 x2
O 0.184 0.461 0.187 x4
O 0.192 0.941 0.294 x4